Record 1
11
Lattice="4.469 0.161 -0.416 -0.899 6.043 -2.618 0.186 -0.169 6.642" Properties=species:S:1:pos:R:3 comment="RbPu2F8 PBE relaxed" e_form_raw_ev_per_atom=-3.47 density_g_cm3=6.741 e_above_lowest_polymorph_mev_per_atom=0.0 e_tot_ev_per_cell=-82.808 pbc="T T T"
Pu -0.167 1.853 3.628
Pu -0.546 4.021 0.396
F 0.032 2.050 -0.665
F 1.639 4.391 -0.243
F 0.359 0.183 2.117
F 3.076 2.443 1.278
F 3.724 3.986 4.273
F 3.398 5.852 1.491
F 0.681 3.593 2.330
F 2.118 1.645 3.851
Rb 2.235 0.081 -0.208

***

Record 2
6
Lattice="1.592 5.199 0.053 -1.592 5.199 0.053 0.000 2.531 7.017" Properties=species:S:1:pos:R:3 comment="Al5Te PBE relaxed" e_form_raw_ev_per_atom=0.16 density_g_cm3=3.767 e_above_lowest_polymorph_mev_per_atom=0.0 e_tot_ev_per_cell=-20.912 pbc="T T T"
Al 0.000 5.829 5.063
Al 0.000 12.693 6.858
Al 0.000 1.730 3.018
Al 0.000 4.592 2.302
Al 0.000 8.720 4.613
Te 0.000 7.379 0.705

***

Record 3
4
Lattice="3.323 0.000 0.000 -1.661 2.877 0.000 0.000 0.000 6.761" Properties=species:S:1:pos:R:3 comment="ReBiBRh PBE relaxed" e_form_ev_per_atom=0.19 density_g_cm3=13.075 e_above_lowest_polymorph_mev_per_atom=33.1 e_tot_ev_per_cell=-29.582 pbc="T T T"
B 0.000 0.000 6.629
Rh 0.000 1.918 0.839
Bi 0.000 0.000 3.199
Re 1.661 0.959 5.573

***

Record 4
16
Lattice="-6.814 1.761 0.148 -0.708 -2.954 2.566 4.210 5.189 7.133" Properties=species:S:1:pos:R:3 comment="LaRuC2 PBE relaxed" e_form_ev_per_atom=-0.03 density_g_cm3=6.654 e_above_lowest_polymorph_mev_per_atom=128.9 e_tot_ev_per_cell=-131.049 pbc="T T T"
La -1.610 0.952 0.652
La -3.454 1.927 4.346
La -0.995 5.998 6.629
La 0.141 2.070 5.502
Ru 0.927 1.810 2.339
Ru -5.991 1.069 2.659
Ru -3.532 5.140 4.942
Ru 2.678 2.928 7.189
C -3.761 -0.596 1.357
C -4.136 0.299 2.284
C -0.354 -1.477 1.283
C 2.105 2.595 3.566
C -0.928 2.580 2.713
C -1.677 4.370 4.567
C 0.823 3.698 7.563
C -1.302 3.475 3.640

***

Record 5
10
Lattice="-1.375 1.790 2.647 1.324 -6.309 7.226 6.518 7.110 0.853" Properties=species:S:1:pos:R:3 comment="Tb2YSc7 PBE relaxed" e_form_ev_per_atom=0.37 density_g_cm3=4.074 e_above_lowest_polymorph_mev_per_atom=215.0 e_tot_ev_per_cell=-56.386 pbc="T T T"
Sc 0.168 -0.586 5.048
Sc 3.233 1.296 5.363
Sc 4.656 -1.068 7.692
Sc 1.811 3.660 3.033
Sc 6.299 3.178 5.677
Sc 4.729 2.489 3.048
Sc 1.738 0.103 7.677
Tb 4.868 5.518 3.358
Tb 1.599 -2.926 7.368
Y 0.000 0.000 0.000

***

Record 6
4
Lattice="1.946 0.000 8.168 -0.973 1.686 8.168 -0.973 -1.686 8.168" Properties=species:S:1:pos:R:3 comment="ScPdCl2 PBE relaxed" e_form_raw_ev_per_atom=-0.97 density_g_cm3=4.591 e_above_lowest_polymorph_mev_per_atom=0.0 e_tot_ev_per_cell=-19.084 pbc="T T T"
Cl 0.000 0.000 22.093
Cl 0.000 0.000 2.409
Pd 0.000 0.000 0.000
Sc 0.000 0.000 12.251